Record 1
This record from the Open Quantum Materials Database describes a relaxed CsRbPdF4 crystal. The functional is PBE.

Cell lengths 3.7292, 6.0547, 6.3549 Å; angles 90.00, 90.00, 90.00 degrees
Closest atoms and distances in Å follow each position.
Space group Pmmm (No. 47)
Symmetry-distinct sites (fractional):
Cs (0.0000, 0.0000, 0.0000) x1  8 F 2.95
Rb (0.0000, 0.5000, 0.5000) x1  8 F 2.82
Pd (0.5000, 0.0000, 0.5000) x1  4 F 1.99
F (0.5000, 0.2357, 0.2815) x4  1 Pd 1.99

Total energy, eV for the cell shown: -29.40


Record 2
This record from the Open Quantum Materials Database describes a relaxed PrErAsO crystal. The functional is PBE.

Cell lengths 4.4211, 4.4211, 9.0003 Å; angles 90.00, 90.00, 90.00 degrees
Closest atoms and distances in Å follow each position.
Space group P4/nmm (No. 129, origin choice 2)
Symmetry-distinct sites (fractional):
Pr (0.2500, 0.2500, 0.1123) x2  4 O 2.43
Er (0.2500, 0.7500, 0.5000) x2  4 As 2.81, 4 Er 3.13
As (0.2500, 0.2500, 0.6933) x2  4 Er 2.81
O (0.2500, 0.7500, 0.0000) x2  4 Pr 2.43

Total energy, eV for the cell shown: -53.17
Distance to the lowest polymorph of the same formula, eV/f.u.: 0.25


Record 3
This record from the Open Quantum Materials Database describes a relaxed Li2Mg2Ga2AgPt crystal. The functional is PBE.

Cell lengths 4.4635, 4.4635, 6.3793 Å; angles 90.00, 90.00, 90.00 degrees
Closest atoms and distances in Å follow each position.
Space group P-4m2 (No. 115)
Symmetry-distinct sites (fractional):
Li (0.0000, 0.0000, 0.0000) x1  4 Ga 2.69, 4 Mg 2.70
Li (0.5000, 0.5000, 0.5000) x1  4 Mg 2.78, 4 Ga 2.80
Mg (0.0000, 0.5000, 0.2394) x2  4 Li 2.70-2.78, 2 Pt 2.70, 2 Ag 2.78, 1 Ga 3.03
Ga (0.0000, 0.5000, 0.7650) x2  4 Li 2.69-2.80, 2 Pt 2.69, 2 Ag 2.80
Ag (0.0000, 0.0000, 0.5000) x1  4 Mg 2.78, 4 Ga 2.80
Pt (0.5000, 0.5000, 0.0000) x1  4 Ga 2.69, 4 Mg 2.70

Total energy, eV for the cell shown: -25.63


Record 4
This record from the Open Quantum Materials Database describes a relaxed NaAlZn crystal. The functional is PBE.

Cell lengths 6.6450, 6.6450, 6.6450 Å; angles 90.00, 90.00, 90.00 degrees
Closest atoms and distances in Å follow each position.
Space group F-43m (No. 216)
Symmetry-distinct sites (fractional):
Na (0.0000, 0.0000, 0.0000) x4  4 Al 2.88, 4 Zn 2.88
Al (0.2500, 0.2500, 0.7500) x4  4 Na 2.88
Zn (0.2500, 0.2500, 0.2500) x4  4 Na 2.88

Total energy, eV for the cell shown: -18.22


Record 5
This record from the Open Quantum Materials Database describes a relaxed Lu2S3 crystal. The functional is PBE.

Cell lengths 6.7363, 6.7363, 18.4129 Å; angles 90.00, 90.00, 120.00 degrees
Closest atoms and distances in Å follow each position.
Space group P6_3cm (No. 185)
Symmetry-distinct sites (fractional):
Lu (0.0000, 0.0000, 0.0000) x2  6 S 2.59-2.80
Lu (0.0000, 0.0000, 0.2019) x2  6 S 2.71
Lu (0.3333, 0.6667, 0.1666) x4  6 S 2.62-2.77
Lu (0.3333, 0.6667, 0.3643) x4  6 S 2.56-2.85
S (0.0000, 0.3018, 0.1046) x6  4 Lu 2.62-2.80
S (0.0000, 0.3355, 0.4315) x6  3 Lu 2.56-2.59
S (0.0000, 0.3674, 0.7621) x6  5 Lu 2.71-2.85

Total energy, eV for the cell shown: -189.12


Record 6
This record from the Open Quantum Materials Database describes a relaxed Li2PuSe3 crystal. The functional is PBE.

Cell lengths 6.9537, 12.0383, 6.7157 Å; angles 90.00, 110.23, 90.00 degrees
Closest atoms and distances in Å follow each position.
Space group C2/m (No. 12)
Symmetry-distinct sites (fractional):
Li (0.0000, 0.0000, 0.0000) x2  6 Se 2.83-2.84
Li (0.0000, 0.1662, 0.5000) x4  6 Se 2.78-2.81
Li (0.0000, 0.5000, 0.5000) x2  6 Se 2.77-2.81
Pu (0.0000, 0.3335, 0.0000) x4  6 Se 2.80
Se (0.2475, 0.5000, 0.2541) x4  4 Li 2.77-2.84, 2 Pu 2.80
Se (0.2478, 0.3317, 0.7487) x8  4 Li 2.78-2.83, 2 Pu 2.80

Total energy, eV for the cell shown: -144.75


Record 7
This record from the Open Quantum Materials Database describes a relaxed GaTcNO crystal. The functional is PBE.

Cell lengths 5.2647, 6.8449, 4.9950 Å; angles 90.00, 90.00, 90.00 degrees
Closest atoms and distances in Å follow each position.
Space group Pca2_1 (No. 29)
Symmetry-distinct sites (fractional):
Ga (0.1078, 0.0983, 0.0000) x4  3 N 1.89-1.93, 1 O 1.91
Tc (0.0695, 0.5676, 0.0396) x4  3 O 2.03-2.12, 1 N 2.17
N (0.0552, 0.1367, 0.6291) x4  3 Ga 1.89-1.93
O (0.0788, 0.6918, 0.6564) x4  1 Ga 1.91, 3 Tc 2.03-2.12

Total energy, eV for the cell shown: -114.42
Distance to the lowest polymorph of the same formula, eV/f.u.: 0.77


Record 8
This record from the Open Quantum Materials Database describes a relaxed NaYHgTe3 crystal. The functional is PBE.

Cell lengths 20.4163, 4.3219, 9.1528 Å; angles 90.00, 102.67, 90.00 degrees
Closest atoms and distances in Å follow each position.
Space group C2/m (No. 12)
Symmetry-distinct sites (fractional):
Na (0.1240, 0.0000, 0.0796) x4  6 Te 3.28-3.52
Y (0.1770, 0.0000, 0.5894) x4  5 Te 3.04-3.10
Hg (0.0434, 0.5000, 0.7246) x4  4 Te 2.84-2.98
Te (0.0000, 0.0000, 0.5000) x2  4 Hg 2.98
Te (0.0000, 0.5000, 0.0000) x2  2 Hg 2.85
Te (0.1707, 0.5000, 0.3522) x4  3 Y 3.04-3.05, 2 Na 3.28
Te (0.1845, 0.5000, 0.8354) x4  1 Hg 2.84, 2 Y 3.10

Total energy, eV for the cell shown: -89.59
Distance to the lowest polymorph of the same formula, eV/f.u.: 0.34


Record 9
This record from the Open Quantum Materials Database describes a relaxed ErTeAuO crystal. The functional is PBE.

Cell lengths 3.9911, 3.9911, 10.0819 Å; angles 90.00, 90.00, 90.00 degrees
Closest atoms and distances in Å follow each position.
Space group P4/nmm (No. 129, origin choice 2)
Symmetry-distinct sites (fractional):
Er (0.2500, 0.2500, 0.1045) x2  4 O 2.26
Te (0.2500, 0.2500, 0.7165) x2  4 Au 2.96
Au (0.2500, 0.7500, 0.5000) x2  4 Au 2.82, 4 Te 2.96
O (0.2500, 0.7500, 0.0000) x2  4 Er 2.26

Total energy, eV for the cell shown: -45.89
Distance to the lowest polymorph of the same formula, eV/f.u.: 0.16


Record 10
This record from the Open Quantum Materials Database describes a relaxed ZnAgPb2 crystal. The functional is PBE.

Cell lengths 7.3638, 7.3638, 7.3638 Å; angles 90.00, 90.00, 90.00 degrees
Closest atoms and distances in Å follow each position.
Space group F-43m (No. 216)
Symmetry-distinct sites (fractional):
Zn (0.0000, 0.0000, 0.0000) x4  4 Pb 3.19, 4 Ag 3.19
Ag (0.2500, 0.2500, 0.2500) x4  4 Pb 3.19, 4 Zn 3.19
Pb (0.0000, 0.0000, 0.5000) x4  4 Pb 3.19, 4 Ag 3.19
Pb (0.2500, 0.2500, 0.7500) x4  4 Pb 3.19, 4 Zn 3.19

Total energy, eV for the cell shown: -42.53


Record 11
This record from the Open Quantum Materials Database describes a relaxed Sm2Y2CI4Cl crystal. The functional is PBE.

Cell lengths 19.1074, 3.9358, 8.3464 Å; angles 90.00, 102.42, 90.00 degrees
Closest atoms and distances in Å follow each position.
Space group C2/m (No. 12)
Symmetry-distinct sites (fractional):
Sm (0.1325, 0.0000, 0.0697) x4  1 C 2.47
Y (0.0014, 0.5000, 0.7999) x4  2 C 2.59
C (0.0000, 0.0000, 0.0000) x2  2 Sm 2.47, 4 Y 2.59
I (0.1605, 0.5000, 0.3609) x4  2 Sm 3.08, 1 Y 3.10
I (0.1676, 0.5000, 0.8093) x4  2 Sm 3.11, 1 Y 3.16
Cl (0.0000, 0.0000, 0.5000) x2  4 Y 3.18

Total energy, eV for the cell shown: -103.07
Distance to the lowest polymorph of the same formula, eV/f.u.: 0.22


Record 12
This record from the Open Quantum Materials Database describes a relaxed NbCoSbPt crystal. The functional is PBE.

Cell lengths 6.3906, 6.3906, 6.3906 Å; angles 90.00, 90.00, 90.00 degrees
Closest atoms and distances in Å follow each position.
Space group F-43m (No. 216)
Symmetry-distinct sites (fractional):
Nb (0.0000, 0.0000, 0.0000) x4  4 Sb 2.77, 4 Pt 2.77
Co (0.0000, 0.0000, 0.5000) x4  4 Pt 2.77, 4 Sb 2.77
Sb (0.2500, 0.2500, 0.2500) x4  4 Co 2.77, 4 Nb 2.77
Pt (0.2500, 0.2500, 0.7500) x4  4 Nb 2.77, 4 Co 2.77

Total energy, eV for the cell shown: -110.49
Distance to the lowest polymorph of the same formula, eV/f.u.: 0.00